SrGeS3 after structural relaxation, computed with PBE.

Summary:
M_tot   2.000 μB per formula unit
Space group   Pm-3m, No. 221
Energy relative to the elements, uncorrected   0.44 eV per atom
V   33.02 Å³/atom
Relative energy among the computed polymorphs   1.4752 eV/atom

a b c (Å): 5.4861 5.4861 5.4861
angles (deg): 90.00 90.00 90.00
Atoms (fractional coordinates):
S 0.0000 0.0000 0.5000
S 0.5000 0.0000 0.0000
S 0.0000 0.5000 0.0000
Sr 0.0000 0.0000 0.0000
Ge 0.5000 0.5000 0.5000